No. 1
Here is an optimized crystal structure of LaTl2Sb2Pd7 from the Alexandria database. Energies are from PBE-GGA.

Values from the calculation:
Its uncorrected formation energy is -405 meV/atom. As for the total energy: -4.93 eV/atom. For the total magnetization, the calculation gives 0.000 μB per atom.

Unit cell a=5.8399 b=5.8429 c=15.4642 alpha=90.00 beta=96.07 gamma=90.00
Last column: nearest neighbours and their distance in Å.
Space group C2/m (No. 12)
Symmetry-distinct sites (fractional):
La (0.0000, 0.0000, 0.0000) x2  12 Pd 2.92-3.03
Tl (0.1099, 0.0000, 0.4068) x4  5 Pd 2.88-2.98
Sb (0.0742, 0.5000, 0.2516) x4  5 Pd 2.61-2.66
Pd (0.0000, 0.5000, 0.0000) x2  4 La 2.92, 8 Pd 3.01-3.03
Pd (0.1059, 0.5000, 0.4215) x4  1 Sb 2.61, 1 Pd 2.84, 1 Tl 2.88
Pd (0.2077, 0.2507, 0.8566) x8  2 Sb 2.65-2.66, 4 Pd 2.91-2.93


No. 2
Here is an optimized crystal structure of La2TmSb3Pd4 from the Alexandria database. Energies are from PBE-GGA.

Values from the calculation:
Its uncorrected formation energy is -965 meV/atom. As for the total energy: -5.71 eV/atom. For the total magnetization, the calculation gives 0.000 μB per atom.

Unit cell a=4.5340 b=4.5340 c=11.5042 alpha=90.00 beta=90.00 gamma=90.00
Last column: nearest neighbours and their distance in Å.
Space group P-4m2 (No. 115)
Symmetry-distinct sites (fractional):
La (0.0000, 0.5000, 0.2168) x2  4 Sb 3.36, 8 Pd 3.37-3.60
Tm (0.0000, 0.0000, 0.5000) x1  4 Pd 2.79
Sb (0.0000, 0.5000, 0.8693) x2  5 Pd 2.62-2.72
Sb (0.5000, 0.5000, 0.5000) x1  4 Pd 2.79
Pd (0.0000, 0.0000, 0.0000) x1  4 Sb 2.72
Pd (0.0000, 0.5000, 0.6412) x2  3 Sb 2.62-2.79, 2 Tm 2.79
Pd (0.5000, 0.5000, 0.0000) x1  4 Sb 2.72


No. 3
Here is an optimized crystal structure of La2ZnSb4Pd3 from the Alexandria database. Energies are from PBE-GGA.

Values from the calculation:
Its uncorrected formation energy is -777 meV/atom. As for the total energy: -5.10 eV/atom. For the total magnetization, the calculation gives 0.000 μB per atom.

Unit cell a=4.6309 b=4.6309 c=10.9460 alpha=90.00 beta=90.00 gamma=90.00
Last column: nearest neighbours and their distance in Å.
Space group P-4m2 (No. 115)
Symmetry-distinct sites (fractional):
La (0.0000, 0.5000, 0.2437) x2  8 Sb 3.49-3.64, 6 Pd 3.53-3.56, 2 Zn 3.53
Zn (0.5000, 0.5000, 0.0000) x1  4 Sb 2.73
Sb (0.0000, 0.0000, 0.5000) x1  4 Pd 2.71
Sb (0.0000, 0.5000, 0.8671) x2  3 Pd 2.61-2.73, 2 Zn 2.73
Sb (0.5000, 0.5000, 0.5000) x1  4 Pd 2.71
Pd (0.0000, 0.0000, 0.0000) x1  4 Sb 2.73
Pd (0.0000, 0.5000, 0.6289) x2  5 Sb 2.61-2.71


No. 4
Here is an optimized crystal structure of La3Zn2SbPd9 from the Alexandria database. Energies are from PBE-GGA.

Values from the calculation:
Its uncorrected formation energy is -588 meV/atom. As for the total energy: -5.13 eV/atom. For the total magnetization, the calculation gives 0.000 μB per atom.

Unit cell a=5.7413 b=5.7413 c=11.8059 alpha=90.00 beta=90.00 gamma=120.00
Last column: nearest neighbours and their distance in Å.
Space group P-3m1 (No. 164)
Symmetry-distinct sites (fractional):
La (0.0000, 0.0000, 0.0000) x1  6 Pd 2.87
La (0.3333, 0.6667, 0.7442) x2  6 Pd 3.00
Zn (0.3333, 0.6667, 0.1640) x2  6 Pd 2.54-2.55
Sb (0.0000, 0.0000, 0.5000) x1  6 Pd 2.62
Pd (0.0000, 0.5000, 0.0000) x3  2 Zn 2.55
Pd (0.1692, 0.3385, 0.3294) x6  1 Zn 2.54, 1 Sb 2.62, 2 Pd 2.83